Compound: Ce12RuPt6
Source: Alexandria
Functional: PBE
Structure: optimized geometry

Geometry as POSCAR:
```
Ce12RuPt6
1.0
6.149 3.550 4.127
-6.149 3.550 4.127
0.000 -7.100 4.127
Ce Ru Pt
12 1 6
direct
0.021 0.947 0.668
0.053 0.332 0.979
0.188 0.585 0.422
0.332 0.979 0.053
0.415 0.578 0.812
0.422 0.188 0.585
0.578 0.812 0.415
0.585 0.422 0.188
0.668 0.021 0.947
0.812 0.415 0.578
0.947 0.668 0.021
0.979 0.053 0.332
0.000 0.000 0.000
0.127 0.318 0.630
0.318 0.630 0.127
0.370 0.873 0.682
0.630 0.127 0.318
0.682 0.370 0.873
0.873 0.682 0.370
```

Results
- Space-group type: R-3 (148)
- Magnetic moment: 11.32 Bohr magnetons per cell
- Energy of formation from the pure elements: -0.612 eV per atom

Compound: NaSb2IO8
Source: Alexandria
Functional: PBE
Structure: optimized geometry

Geometry as POSCAR:
```
NaSb2IO8
1.0
3.402 -3.620 0.000
3.402 3.620 0.000
0.000 0.000 6.393
Na Sb I O
1 2 1 8
direct
0.000 0.000 0.000
0.500 0.500 0.243
0.500 0.500 0.757
0.000 0.000 0.500
0.207 0.207 0.270
0.207 0.207 0.730
0.317 0.683 0.500
0.322 0.678 0.000
0.678 0.322 0.000
0.683 0.317 0.500
0.793 0.793 0.270
0.793 0.793 0.730
```

Results
- Space-group type: Cmmm (65)
- Magnetic moment: 0.00 Bohr magnetons per cell
- Uncorrected formation energy: -1.03 eV per atom

Compound: Sr3HOs
Source: Alexandria
Functional: PBE
Structure: optimized geometry

Geometry as POSCAR:
```
Sr3HOs
1.0
4.970 0.000 0.000
0.000 4.970 0.000
0.000 0.000 4.970
Sr H Os
3 1 1
direct
0.000 0.000 0.500
0.000 0.500 0.000
0.500 0.000 0.000
0.000 0.000 0.000
0.500 0.500 0.500
```

Results
- Space-group type: Pm-3m (221)
- Magnetic moment: 0.00 Bohr magnetons per cell
- VASP energy: -17.66 eV for the cell shown

Compound: CrFeMo2
Source: Alexandria
Functional: PBE
Structure: optimized geometry

Geometry as POSCAR:
```
CrFeMo2
1.0
0.000 3.022 3.022
3.022 0.000 3.022
3.022 3.022 0.000
Cr Fe Mo
1 1 2
direct
0.000 0.000 0.000
0.750 0.750 0.750
0.250 0.250 0.250
0.500 0.500 0.500
```

Results
- Space-group type: F-43m (216)
- Magnetic moment: 2.31 Bohr magnetons per cell
- Energy of formation from the pure elements: 0.173 eV per atom

Compound: EuZn2Cu
Source: Alexandria
Functional: PBE
Structure: optimized geometry

Geometry as POSCAR:
```
EuZn2Cu
1.0
3.225 0.000 0.000
0.000 3.225 0.000
0.000 0.000 7.212
Eu Zn Cu
1 2 1
direct
0.000 0.000 0.000
0.500 0.500 0.316
0.500 0.500 0.684
0.000 0.000 0.500
```

Results
- Space-group type: P4/mmm (123)
- Magnetic moment: 7.10 Bohr magnetons per cell
- Energy of formation from the pure elements: -0.089 eV per atom

Compound: BaAs3H
Source: Alexandria
Functional: PBE
Structure: optimized geometry

Geometry as POSCAR:
```
BaAs3H
1.0
6.071 0.000 0.000
0.000 6.071 0.000
0.000 0.000 6.071
Ba As H
1 3 1
direct
0.000 0.000 0.000
0.000 0.000 0.500
0.000 0.500 0.000
0.500 0.000 0.000
0.500 0.500 0.500
```

Results
- Space-group type: Pm-3m (221)
- Magnetic moment: 0.18 Bohr magnetons per cell
- VASP energy: -11.66 eV for the cell shown

Compound: NaTiSn2
Source: Alexandria
Functional: PBE
Structure: optimized geometry

Geometry as POSCAR:
```
NaTiSn2
1.0
-2.397 2.397 9.631
2.397 -2.397 9.631
2.397 2.397 -9.631
Na Ti Sn
2 2 4
direct
0.000 0.000 0.000
0.750 0.250 0.500
0.250 0.750 0.500
0.500 0.500 0.000
0.181 0.625 0.056
0.375 0.431 0.556
0.569 0.125 0.944
0.875 0.819 0.444
```

Results
- Space-group type: I-42d (122)
- Magnetic moment: 2.00 Bohr magnetons per cell
- Energy of formation from the pure elements: 0.283 eV per atom

Compound: CeSiAu
Source: Alexandria
Functional: PBE
Structure: optimized geometry

Geometry as POSCAR:
```
CeSiAu
1.0
6.369 0.000 0.000
-3.185 5.516 0.000
0.000 0.000 11.269
Ce Si Au
6 6 6
direct
0.000 0.000 0.000
0.000 0.000 0.333
0.000 0.000 0.667
0.000 0.500 0.167
0.500 0.000 0.500
0.500 0.500 0.833
0.218 0.609 0.667
0.391 0.609 0.333
0.391 0.782 0.000
0.609 0.218 0.000
0.609 0.391 0.333
0.782 0.391 0.667
0.000 0.500 0.455
0.000 0.500 0.878
0.500 0.000 0.212
0.500 0.000 0.788
0.500 0.500 0.122
0.500 0.500 0.545
```

Results
- Space-group type: P6_222 (180)
- Magnetic moment: 6.68 Bohr magnetons per cell
- Uncorrected formation energy: -0.39 eV per atom

Compound: SbAu2
Source: Alexandria
Functional: PBE
Structure: optimized geometry

Geometry as POSCAR:
```
SbAu2
1.0
-2.806 2.806 4.253
2.806 -2.806 4.253
2.806 2.806 -4.253
Sb Au
2 4
direct
0.250 0.250 0.000
0.750 0.750 0.000
0.178 0.678 0.856
0.322 0.178 0.500
0.678 0.822 0.500
0.822 0.322 0.144
```

Results
- Space-group type: I4/mcm (140)
- Magnetic moment: 0.00 Bohr magnetons per cell
- Uncorrected formation energy: 0.03 eV per atom

Compound: CrCo2Se
Source: Alexandria
Functional: PBE
Structure: optimized geometry

Geometry as POSCAR:
```
CrCo2Se
1.0
0.000 2.880 2.880
2.880 0.000 2.880
2.880 2.880 0.000
Cr Co Se
1 2 1
direct
0.000 0.000 0.000
0.500 0.500 0.500
0.750 0.750 0.750
0.250 0.250 0.250
```

Results
- Space-group type: F-43m (216)
- Magnetic moment: 1.57 Bohr magnetons per cell
- Uncorrected formation energy: 0.30 eV per atom

Compound: Rb4FeBr6
Source: Alexandria
Functional: PBE
Structure: optimized geometry

Geometry as POSCAR:
```
Rb4FeBr6
1.0
8.285 -4.174 0.000
8.285 4.174 0.000
-6.011 0.000 15.181
Rb Fe Br
8 2 12
direct
0.146 0.854 0.500
0.203 0.515 0.045
0.398 0.740 0.825
0.515 0.203 0.545
0.519 0.944 0.180
0.740 0.398 0.325
0.854 0.146 0.000
0.944 0.519 0.680
0.054 0.530 0.281
0.530 0.054 0.781
0.190 0.621 0.632
0.213 0.242 0.332
0.242 0.213 0.832
0.244 0.640 0.292
0.288 0.796 0.013
0.499 0.909 0.625
0.621 0.190 0.132
0.640 0.244 0.792
0.756 0.807 0.867
0.796 0.288 0.513
0.807 0.756 0.367
0.909 0.499 0.125
```

Results
- Space-group type: Cc (9)
- Magnetic moment: 8.00 Bohr magnetons per cell
- Uncorrected formation energy: -1.36 eV per atom

Compound: MnHg3Cl
Source: Alexandria
Functional: PBE
Structure: optimized geometry

Geometry as POSCAR:
```
MnHg3Cl
1.0
5.345 0.000 0.000
0.000 5.345 0.000
0.000 0.000 5.345
Mn Hg Cl
1 3 1
direct
0.000 0.000 0.000
0.000 0.000 0.500
0.000 0.500 0.000
0.500 0.000 0.000
0.500 0.500 0.500
```

Results
- Space-group type: Pm-3m (221)
- Magnetic moment: 4.39 Bohr magnetons per cell
- Uncorrected formation energy: 0.13 eV per atom